Below is a geometry-optimized LiIr3Cl structure, with properties calculated at the GGA-PBE level.

Output
Magnetic moment in μB per cell: 0.55
Space group: Pm-3m
Offset from the most stable computed form in meV per atom: 0
Calculated density in g/cm³: 11.9
Crystal system: cubic

a b c (Å): 4.425 4.425 4.425
angles (deg): 90.00 90.00 90.00
Each line ends with the local moment (μB).
Atoms (fractional coordinates):
Ir  0.000  0.500  0.000  0.21
Ir  0.000  0.000  0.500  0.22
Ir  0.500  0.000  0.000  0.11
Cl  0.000  0.000  0.000  0.02
Li  0.500  0.500  0.500  0.00